# Np4NbO10 (PBE-GGA, relaxed)
data_Np4NbO10
_space_group_name_H-M_alt 'R -3 m'
_space_group_IT_number 166
_space_group_name_Hall '-R 3 2"'
_cell_length_a 3.7824
_cell_length_b 3.7824
_cell_length_c 45.8245
_cell_angle_alpha 90.00
_cell_angle_beta 90.00
_cell_angle_gamma 120.00
loop_
_atom_site_label
_atom_site_fract_x
_atom_site_fract_y
_atom_site_fract_z
Np1 0.0000 0.0000 0.1027
Np2 0.0000 0.0000 0.2990
Nb1 0.0000 0.0000 0.5000
O1 0.0000 0.0000 0.0519
O2 0.0000 0.0000 0.1547
O3 0.0000 0.0000 0.2470
O4 0.0000 0.0000 0.3504
O5 0.0000 0.0000 0.4546
# * final energy: -10.365 eV per atom


# NpNb4O12 (PBE-GGA, relaxed)
data_NpNb4O12
_space_group_name_H-M_alt 'I m m 2'
_space_group_IT_number 44
_space_group_name_Hall 'I 2 -2'
_cell_length_a 7.859
_cell_length_b 7.866
_cell_length_c 7.801
_cell_angle_alpha 90.00
_cell_angle_beta 90.00
_cell_angle_gamma 90.00
loop_
_atom_site_label
_atom_site_fract_x
_atom_site_fract_y
_atom_site_fract_z
Np1 0.000 0.000 0.000
Nb1 0.246 0.246 0.731
O1 0.000 0.239 0.815
O2 0.000 0.241 0.192
O3 0.207 0.207 0.503
O4 0.238 0.000 0.815
O5 0.240 0.000 0.192
# * final energy: -9.195 eV per atom


# NpNbO2 (PBE-GGA, relaxed)
data_NpNbO2
_space_group_name_H-M_alt 'R -3 m'
_space_group_IT_number 166
_space_group_name_Hall '-R 3 2"'
_cell_length_a 3.5132
_cell_length_b 3.5132
_cell_length_c 17.6899
_cell_angle_alpha 90.00
_cell_angle_beta 90.00
_cell_angle_gamma 120.00
loop_
_atom_site_label
_atom_site_fract_x
_atom_site_fract_y
_atom_site_fract_z
Np1 0.0000 0.0000 0.0000
Nb1 0.0000 0.0000 0.5000
O1 0.0000 0.0000 0.1247
# * final energy: -9.854 eV per atom


# NpNbPdO6 (PBE-GGA, relaxed)
data_NpNbPdO6
_space_group_name_H-M_alt 'P -3 1 c'
_space_group_IT_number 163
_space_group_name_Hall '-P 3 2c'
_cell_length_a 5.5149
_cell_length_b 5.5149
_cell_length_c 9.3097
_cell_angle_alpha 90.00
_cell_angle_beta 90.00
_cell_angle_gamma 120.00
loop_
_atom_site_label
_atom_site_fract_x
_atom_site_fract_y
_atom_site_fract_z
Np1 0.3333 0.6667 0.2500
Nb1 0.3333 0.6667 0.7500
Pd1 0.0000 0.0000 0.0000
O1 0.0090 0.3646 0.6356
# * final energy: -8.497 eV per atom


# RbNpNbO6 (PBE-GGA, relaxed)
data_RbNpNbO6
_space_group_name_H-M_alt 'I m m a'
_space_group_IT_number 74
_space_group_name_Hall '-I 2b 2'
_cell_length_a 7.517
_cell_length_b 7.833
_cell_length_c 10.813
_cell_angle_alpha 90.00
_cell_angle_beta 90.00
_cell_angle_gamma 90.00
loop_
_atom_site_label
_atom_site_fract_x
_atom_site_fract_y
_atom_site_fract_z
Rb1 0.000 0.250 0.118
Np1 0.000 0.000 0.500
Nb1 0.250 0.250 0.750
O1 0.000 0.250 0.427
O2 0.000 0.250 0.808
O3 0.193 0.065 0.626
# * final energy: -8.550 eV per atom


# Rb2NpNb3O12 (PBE-GGA, relaxed)
data_Rb2NpNb3O12
_space_group_name_H-M_alt 'R -3 m'
_space_group_IT_number 166
_space_group_name_Hall '-R 3 2"'
_cell_length_a 7.5051
_cell_length_b 7.5051
_cell_length_c 19.0025
_cell_angle_alpha 90.00
_cell_angle_beta 90.00
_cell_angle_gamma 120.00
loop_
_atom_site_label
_atom_site_fract_x
_atom_site_fract_y
_atom_site_fract_z
Rb1 0.0000 0.0000 0.1094
Np1 0.0000 0.0000 0.5000
Nb1 0.0000 0.5000 0.0000
O1 0.0801 0.5400 0.1049
O2 0.0832 0.5416 0.3519
# * final energy: -8.285 eV per atom